No. 1
## CaAg2Au (GGA-PBEsol)

Data for a geometry-optimized CaAg2Au structure.

Cell lengths 4.1537, 4.1537, 4.4782 Å; angles 90.00, 90.00, 90.00 degrees
Last column: nearest neighbours and their distance in Å.
Fractional coordinates of all 4 atoms:
Ag: 0.0000 0.5000 0.0000  4 Ag 2.94, 4 Ca 3.05, 4 Au 3.05
Ag: 0.5000 0.0000 0.0000  4 Ag 2.94, 4 Ca 3.05, 4 Au 3.05
Ca: 0.0000 0.0000 0.5000  4 Au 2.94, 8 Ag 3.05
Au: 0.5000 0.5000 0.5000  4 Ca 2.94, 8 Ag 3.05

Electronic total energy ... -3.45 eV per atom
Spin magnetization ... 0.00 μB per cell
Calculated volume ... 77.3 Å³ per cell

No. 2
## LaCrNi2Br (GGA-PBEsol)

Data for a geometry-optimized LaCrNi2Br structure.

Cell lengths 4.5341, 4.5341, 4.5596 Å; angles 90.00, 90.00, 90.00 degrees
Last column: nearest neighbours and their distance in Å.
Fractional coordinates of all 5 atoms:
Cr: 0.0000 0.0000 0.5000  2 Br 2.28
La: 0.5000 0.5000 0.5000  4 Cr 3.21, 8 Ni 3.22
Ni: 0.0000 0.5000 0.0000  2 Br 2.27
Ni: 0.5000 0.0000 0.0000  2 Br 2.27
Br: 0.0000 0.0000 0.0000  4 Ni 2.27, 2 Cr 2.28

Spin magnetization ... 3.02 μB per cell
Calculated volume ... 93.7 Å³ per cell
Formation energy from raw total energies ... 0.546 eV per atom

No. 3
## Nb3CuSb (GGA-PBEsol)

Data for a geometry-optimized Nb3CuSb structure.

Cell lengths 4.6227, 4.6227, 4.6227 Å; angles 90.00, 90.00, 90.00 degrees
Last column: nearest neighbours and their distance in Å.
Fractional coordinates of all 5 atoms:
Nb: 0.0000 0.5000 0.0000  2 Cu 2.31
Nb: 0.0000 0.0000 0.5000  2 Cu 2.31
Nb: 0.5000 0.0000 0.0000  2 Cu 2.31
Sb: 0.5000 0.5000 0.5000  12 Nb 3.27
Cu: 0.0000 0.0000 0.0000  6 Nb 2.31

Spin magnetization ... 0.00 μB per cell
Calculated volume ... 98.8 Å³ per cell
Formation energy from raw total energies ... 0.833 eV per atom

No. 4
## SrCa2Re (GGA-PBEsol)

Data for a geometry-optimized SrCa2Re structure.

Cell lengths 4.9764, 5.5100, 4.9764 Å; angles 63.15, 90.00, 116.85 degrees
Last column: nearest neighbours and their distance in Å.
Fractional coordinates of all 4 atoms:
Ca: 0.7500 0.5000 0.7500  4 Re 3.27, 4 Sr 3.27, 4 Ca 3.52
Ca: 0.2500 0.5000 0.2500  4 Sr 3.27, 4 Re 3.27, 4 Ca 3.52
Re: 0.5000 0.0000 0.5000  8 Ca 3.27, 4 Sr 3.52
Sr: 0.0000 0.0000 0.0000  8 Ca 3.27, 4 Re 3.52

Relative energy among the computed polymorphs ... 0.0 meV per atom
Spin magnetization ... 0.56 μB per cell
Calculated volume ... 105.0 Å³ per cell

> Among the records above, which one has the highest spin magnetization?

LaCrNi2Br

> calculated volume of number 3 (Nb3CuSb)?

98.8 Å³ per cell